# 1
Compound: Sm2DyPt
Source: Alexandria
Functional: PBE
Structure: relaxed

Cell: 3.8390 3.8390 28.8570 Å, 90.00 90.00 120.00°
Space group R-3m (No. 166, hexagonal axes)
Unique sites:
Sm (0.0000, 0.0000, 0.2300)
Dy (0.0000, 0.0000, 0.0000)
Pt (0.0000, 0.0000, 0.5000)

Properties
Relative energy among the computed polymorphs   0.90 eV/f.u.

***

# 2
Compound: Sm3Dy3Pt2
Source: Alexandria
Functional: PBE
Structure: relaxed

Cell: 3.964 12.942 17.630 Å, 90.00 90.00 90.00°
Space group Cmcm (No. 63)
Unique sites:
Sm (0.000, 0.049, 0.103)
Sm (0.000, 0.338, 0.250)
Dy (0.000, 0.344, 0.043)
Dy (0.000, 0.391, 0.750)
Pt (0.000, 0.259, 0.624)

***

# 3
Compound: SmDy2Pt
Source: Alexandria
Functional: PBE
Structure: relaxed

Cell: 3.571 3.571 8.562 Å, 90.00 90.00 90.00°
Space group P4/mmm (No. 123)
Unique sites:
Sm (0.000, 0.000, 0.000)
Dy (0.500, 0.500, 0.309)
Pt (0.000, 0.000, 0.500)

Properties
Relative energy among the computed polymorphs   0.41 eV/f.u.

***

# 4
Compound: SmDy3Pt8
Source: Alexandria
Functional: PBE
Structure: relaxed

Cell: 5.4642 5.4642 8.9024 Å, 90.00 90.00 120.00°
Space group P3m1 (No. 156)
Unique sites:
Sm (0.0000, 0.0000, 0.0000)
Dy (0.0000, 0.0000, 0.3716)
Dy (0.6667, 0.3333, 0.4975)
Dy (0.6667, 0.3333, 0.8656)
Pt (0.1644, 0.3289, 0.6824)
Pt (0.3333, 0.6667, 0.4330)
Pt (0.3333, 0.6667, 0.9334)
Pt (0.5026, 0.0052, 0.1849)

***

# 5
Compound: Sm3Dy2Pt2
Source: Alexandria
Functional: PBE
Structure: relaxed

Cell: 12.385 3.814 9.124 Å, 90.00 115.26 90.00°
Space group C2/m (No. 12)
Unique sites:
Sm (0.000, 0.000, 0.000)
Sm (0.113, 0.000, 0.433)
Dy (0.167, 0.500, 0.814)
Pt (0.177, 0.500, 0.236)

***

# 6
Compound: SmDyPt6
Source: Alexandria
Functional: PBE
Structure: relaxed

Cell: 4.145 4.145 8.285 Å, 90.00 90.00 90.00°
Space group P4/mmm (No. 123)
Unique sites:
Sm (0.000, 0.000, 0.000)
Dy (0.000, 0.000, 0.500)
Pt (0.000, 0.500, 0.254)
Pt (0.500, 0.500, 0.000)
Pt (0.500, 0.500, 0.500)

Properties
Relative energy among the computed polymorphs   0.00 eV/f.u.

***

# 7
Compound: Sm3DyPt2
Source: Alexandria
Functional: PBE
Structure: relaxed

Cell: 4.839 9.000 7.271 Å, 90.00 90.00 90.00°
Space group Pmc2_1 (No. 26)
Unique sites:
Sm (0.000, 0.085, 0.000)
Sm (0.000, 0.337, 0.362)
Sm (0.500, 0.167, 0.651)
Dy (0.500, 0.415, 0.013)
Pt (0.000, 0.343, 0.769)
Pt (0.500, 0.162, 0.246)

***

# 8
Compound: Sm2DyPt
Source: Alexandria
Functional: PBE
Structure: relaxed

Cell: 3.848 12.065 9.796 Å, 90.00 90.00 90.00°
Space group Cmcm (No. 63)
Unique sites:
Sm (0.000, 0.137, 0.064)
Dy (0.000, 0.423, 0.250)
Pt (0.000, 0.261, 0.750)

Properties
Relative energy among the computed polymorphs   0.15 eV/f.u.

***

no.,formation enthalpy at 0 K (eV per atom),VASP energy (eV per atom),total magnetic moment (μB per cell)
1,-0.44,-5.465,0.0
2,-0.58,-5.587,0.0
3,-0.59,-5.585,0.0
4,-1.06,-6.633,0.0
5,-0.73,-5.797,0.0
6,-0.98,-6.679,0.0
7,-0.87,-6.013,0.0
8,-0.63,-5.652,0.0